BaCaSi2Se: relaxed, GGA-PBE.

Unit cell a=5.404 b=5.435 c=5.404 alpha=90.00 beta=90.00 gamma=90.00
Sites, in units of the cell vectors:
Ca  0.000  0.000  0.000
Si  0.500  0.000  0.000
Ba  0.500  0.500  0.500
Se  0.000  0.500  0.000
Si  0.000  0.000  0.500

space group = No. 123
uncorrected formation energy = 0.06 eV/atom
E = -3.593 eV per atom


BaCaSiSe4: relaxed, GGA-PBE.

Unit cell a=6.908 b=7.060 c=8.736 alpha=90.00 beta=107.63 gamma=90.00
Sites, in units of the cell vectors:
Si  0.219  0.750  0.317
Se  0.999  0.998  0.733
Se  0.001  0.498  0.267
Se  0.001  0.002  0.267
Se  0.415  0.750  0.576
Se  0.585  0.250  0.424
Ba  0.259  0.250  0.066
Ca  0.765  0.750  0.445
Ba  0.741  0.750  0.934
Si  0.781  0.250  0.683
Se  0.407  0.750  0.140
Se  0.593  0.250  0.860
Ca  0.235  0.250  0.555
Se  0.999  0.502  0.733

space group = No. 11
uncorrected formation energy = -1.39 eV/atom
E = -4.716 eV per atom


BaCa2SmSe4: relaxed, GGA-PBE.

Unit cell a=4.303 b=7.461 c=7.547 alpha=70.80 beta=90.00 gamma=90.00
Sites, in units of the cell vectors:
Se  0.000  0.767  0.727
Ca  0.500  0.000  0.500
Ba  0.500  0.500  0.000
Se  0.000  0.233  0.273
Se  0.500  0.757  0.263
Sm  0.000  0.500  0.500
Ca  0.000  0.000  0.000
Se  0.500  0.243  0.737

space group = No. 10
uncorrected formation energy = -1.91 eV/atom
E = -4.985 eV per atom


Ba2CaSmSe4: relaxed, GGA-PBE.

Unit cell a=4.400 b=7.628 c=7.797 alpha=109.03 beta=90.00 gamma=90.00
Sites, in units of the cell vectors:
Ba  0.000  0.500  0.500
Se  0.000  0.737  0.219
Ba  0.500  0.000  0.500
Ca  0.000  0.000  0.000
Se  0.500  0.242  0.219
Sm  0.500  0.500  0.000
Se  0.500  0.758  0.781
Se  0.000  0.263  0.781

space group = No. 10
uncorrected formation energy = -1.95 eV/atom
E = -5.016 eV per atom


BaSr2CaSe4: relaxed, GGA-PBE.

Unit cell a=4.476 b=7.758 c=7.752 alpha=109.44 beta=90.00 gamma=90.00
Sites, in units of the cell vectors:
Se  0.000  0.236  0.744
Se  0.500  0.237  0.247
Ca  0.000  0.000  0.000
Sr  0.500  0.000  0.500
Sr  0.000  0.500  0.500
Se  0.000  0.764  0.256
Ba  0.500  0.500  0.000
Se  0.500  0.763  0.753

space group = No. 10
uncorrected formation energy = -2.02 eV/atom
E = -4.672 eV per atom


BaSrCa2Se: relaxed, GGA-PBE.

Unit cell a=5.817 b=5.817 c=6.611 alpha=90.00 beta=90.00 gamma=90.00
Sites, in units of the cell vectors:
Ca  0.500  0.000  0.000
Ca  0.000  0.500  0.000
Ba  0.000  0.000  0.500
Sr  0.500  0.500  0.500
Se  0.000  0.000  0.000

space group = No. 123
uncorrected formation energy = -0.65 eV/atom
E = -2.865 eV per atom


BaCa2TaSe: relaxed, GGA-PBE.

Unit cell a=5.973 b=5.043 c=5.973 alpha=90.00 beta=90.00 gamma=90.00
Sites, in units of the cell vectors:
Ca  0.500  0.000  0.000
Ta  0.000  0.000  0.000
Ba  0.500  0.500  0.500
Ca  0.000  0.000  0.500
Se  0.000  0.500  0.000

space group = No. 123
uncorrected formation energy = 0.24 eV/atom
E = -4.011 eV per atom


Ba2CaTbSe4: relaxed, GGA-PBE.

Unit cell a=4.371 b=7.580 c=7.775 alpha=108.93 beta=90.00 gamma=90.00
Sites, in units of the cell vectors:
Ca  0.000  0.000  0.000
Se  0.000  0.733  0.215
Se  0.500  0.755  0.784
Se  0.000  0.267  0.785
Tb  0.500  0.500  0.000
Ba  0.000  0.500  0.500
Se  0.500  0.245  0.216
Ba  0.500  0.000  0.500

space group = No. 10
uncorrected formation energy = -1.94 eV/atom
E = -4.996 eV per atom


Ba2CaTiSe: relaxed, GGA-PBE.

Unit cell a=6.696 b=4.864 c=6.696 alpha=90.00 beta=90.00 gamma=90.00
Sites, in units of the cell vectors:
Ti  0.000  0.000  0.000
Ba  0.000  0.000  0.500
Se  0.000  0.500  0.000
Ca  0.500  0.500  0.500
Ba  0.500  0.000  0.000

space group = No. 123
uncorrected formation energy = 0.02 eV/atom
E = -3.426 eV per atom


BaCa2TlSe4: relaxed, GGA-PBE.

Unit cell a=4.566 b=7.680 c=14.779 alpha=90.00 beta=90.00 gamma=107.29
Sites, in units of the cell vectors:
Ca  0.377  0.753  0.950
Tl  0.134  0.267  0.250
Ca  0.377  0.753  0.550
Ca  0.623  0.247  0.050
Se  0.469  0.937  0.750
Ba  0.133  0.265  0.750
Tl  0.866  0.733  0.750
Se  0.262  0.524  0.388
Se  0.738  0.476  0.888
Se  0.000  0.000  0.500
Se  0.262  0.524  0.112
Se  0.531  0.063  0.250
Ba  0.867  0.735  0.250
Se  0.000  0.000  0.000
Ca  0.623  0.247  0.450
Se  0.738  0.476  0.612

space group = No. 63
uncorrected formation energy = -1.43 eV/atom
E = -4.208 eV per atom


Ba2CaTmSe4: relaxed, GGA-PBE.

Unit cell a=4.339 b=7.531 c=7.755 alpha=108.79 beta=90.00 gamma=90.00
Sites, in units of the cell vectors:
Tm  0.000  0.000  0.000
Se  0.500  0.229  0.211
Ca  0.500  0.500  0.000
Se  0.000  0.747  0.214
Se  0.000  0.253  0.786
Ba  0.500  0.000  0.500
Ba  0.000  0.500  0.500
Se  0.500  0.771  0.789

space group = No. 10
uncorrected formation energy = -1.92 eV/atom
E = -4.953 eV per atom


BaCaYSe2: relaxed, GGA-PBE.

Unit cell a=5.568 b=6.461 c=5.568 alpha=90.00 beta=90.00 gamma=90.00
Sites, in units of the cell vectors:
Se  0.500  0.000  0.000
Ca  0.500  0.500  0.500
Ba  0.000  0.500  0.000
Se  0.000  0.000  0.500
Y  0.000  0.000  0.000

space group = No. 123
uncorrected formation energy = -0.47 eV/atom
E = -3.945 eV per atom


BaCa2ZnSe4: relaxed, GGA-PBE.

Unit cell a=4.242 b=7.495 c=14.680 alpha=90.00 beta=90.00 gamma=106.44
Sites, in units of the cell vectors:
Zn  0.160  0.320  0.250
Se  0.562  0.125  0.250
Ca  0.371  0.743  0.553
Ca  0.629  0.257  0.053
Se  0.438  0.875  0.750
Se  0.000  0.000  0.000
Zn  0.840  0.680  0.750
Se  0.736  0.471  0.882
Ca  0.371  0.743  0.947
Se  0.736  0.471  0.618
Ca  0.629  0.257  0.447
Se  0.264  0.529  0.382
Se  0.264  0.529  0.118
Ba  0.116  0.231  0.750
Se  0.000  0.000  0.500
Ba  0.884  0.769  0.250

space group = No. 63
uncorrected formation energy = -1.67 eV/atom
E = -4.311 eV per atom


BaCa2Si: relaxed, GGA-PBE.

Unit cell a=6.100 b=7.001 c=3.811 alpha=74.72 beta=88.87 gamma=115.49
Sites, in units of the cell vectors:
Ca  0.000  0.000  0.000
Ba  0.500  0.500  0.000
Ca  0.500  0.000  0.500
Si  0.000  0.500  0.500

ΔE to the lowest computed polymorph = 33.3 kJ per mole of atoms
space group = No. 12
uncorrected formation energy = 0.19 eV/atom
E = -2.650 eV per atom


BaCa2Si: relaxed, GGA-PBE.

Unit cell a=6.636 b=6.636 c=7.132 alpha=57.39 beta=57.39 gamma=38.77
Sites, in units of the cell vectors:
Si  0.471  0.471  0.683
Ca  0.829  0.829  0.629
Ba  0.188  0.188  0.273
Ca  0.011  0.011  0.915

ΔE to the lowest computed polymorph = 4.1 kJ per mole of atoms
space group = No. 8
uncorrected formation energy = -0.12 eV/atom
E = -2.953 eV per atom


BaCa2Si2: relaxed, GGA-PBE.

Unit cell a=4.549 b=5.365 c=12.458 alpha=96.51 beta=90.00 gamma=90.00
Sites, in units of the cell vectors:
Si  0.250  0.788  0.645
Ca  0.750  0.154  0.116
Ca  0.250  0.846  0.884
Si  0.750  0.212  0.355
Ba  0.750  0.321  0.755
Ba  0.250  0.679  0.245
Ca  0.250  0.252  0.506
Si  0.250  0.375  0.986
Ca  0.750  0.748  0.494
Si  0.750  0.625  0.014

ΔE to the lowest computed polymorph = 0.0 kJ per mole of atoms
space group = No. 11
uncorrected formation energy = -0.38 eV/atom
E = -3.733 eV per atom


BaCa2Si: relaxed, GGA-PBE.

Unit cell a=7.560 b=7.560 c=7.560 alpha=151.43 beta=133.61 gamma=55.39
Sites, in units of the cell vectors:
Ca  0.927  0.927  0.000
Ba  0.250  0.750  0.500
Ca  0.573  0.573  0.000
Si  0.750  0.250  0.500

ΔE to the lowest computed polymorph = 0.0 kJ per mole of atoms
space group = No. 71
uncorrected formation energy = -0.16 eV/atom
E = -2.995 eV per atom


Ba3CaSi2: relaxed, GGA-PBE.

Unit cell a=7.711 b=7.312 c=9.655 alpha=112.25 beta=113.54 gamma=90.00
Sites, in units of the cell vectors:
Ba  0.500  0.250  0.000
Ca  0.000  0.250  0.000
Ba  0.013  0.812  0.625
Si  0.891  0.613  0.226
Ba  0.987  0.188  0.375
Ca  0.000  0.750  0.000
Ba  0.500  0.750  0.000
Ba  0.388  0.688  0.375
Si  0.335  0.113  0.226
Si  0.109  0.387  0.774
Ba  0.612  0.312  0.625
Si  0.665  0.887  0.774

space group = No. 72
uncorrected formation energy = -0.33 eV/atom
E = -3.430 eV per atom


BaCa2Si: relaxed, GGA-PBE.

Unit cell a=4.604 b=6.333 c=7.063 alpha=59.62 beta=90.00 gamma=90.00
Sites, in units of the cell vectors:
Ca  0.000  0.109  0.082
Ca  0.000  0.391  0.418
Ba  0.500  0.750  0.750
Si  0.500  0.250  0.250

ΔE to the lowest computed polymorph = 7.6 kJ per mole of atoms
space group = No. 10
uncorrected formation energy = -0.08 eV/atom
E = -2.916 eV per atom


Ba2CaSi2: relaxed, GGA-PBE.

Unit cell a=4.996 b=4.996 c=7.710 alpha=71.09 beta=71.09 gamma=90.00
Sites, in units of the cell vectors:
Ba  0.250  0.750  0.500
Ba  0.750  0.250  0.500
Si  0.417  0.417  0.166
Ca  0.000  0.000  0.000
Si  0.583  0.583  0.834

ΔE to the lowest computed polymorph = 28.0 kJ per mole of atoms
space group = No. 139
uncorrected formation energy = -0.03 eV/atom
E = -3.368 eV per atom


BaCaSi2: relaxed, GGA-PBE.

Unit cell a=4.004 b=4.004 c=6.935 alpha=90.00 beta=90.00 gamma=90.00
Sites, in units of the cell vectors:
Ba  0.500  0.500  0.250
Ca  0.500  0.500  0.750
Si  0.000  0.000  0.580
Si  0.000  0.000  0.920

ΔE to the lowest computed polymorph = 13.6 kJ per mole of atoms
space group = No. 123
uncorrected formation energy = -0.30 eV/atom
E = -3.995 eV per atom


BaCa2Si: relaxed, GGA-PBE.

Unit cell a=5.156 b=5.043 c=5.043 alpha=90.00 beta=90.00 gamma=90.00
Sites, in units of the cell vectors:
Si  0.500  0.500  0.000
Ba  0.500  0.000  0.500
Ca  0.000  0.500  0.500
Ca  0.000  0.000  0.000

ΔE to the lowest computed polymorph = 9.6 kJ per mole of atoms
space group = No. 123
uncorrected formation energy = -0.06 eV/atom
E = -2.896 eV per atom


BaCa2Si2: relaxed, GGA-PBE.

Unit cell a=8.986 b=8.986 c=3.349 alpha=90.00 beta=90.00 gamma=90.00
Sites, in units of the cell vectors:
Si  0.173  0.673  0.500
Si  0.673  0.827  0.500
Ca  0.876  0.624  0.000
Ba  0.000  0.000  0.000
Si  0.827  0.327  0.500
Ca  0.124  0.376  0.000
Ca  0.376  0.876  0.000
Ca  0.624  0.124  0.000
Si  0.327  0.173  0.500
Ba  0.500  0.500  0.000

ΔE to the lowest computed polymorph = 9.9 kJ per mole of atoms
space group = No. 127
uncorrected formation energy = -0.28 eV/atom
E = -3.630 eV per atom


BaCaSi2: relaxed, GGA-PBE.

Unit cell a=8.511 b=8.511 c=6.850 alpha=51.60 beta=51.60 gamma=90.00
Sites, in units of the cell vectors:
Si  0.153  0.625  0.250
Ca  0.500  0.500  0.000
Ba  0.000  0.000  0.000
Ca  0.250  0.750  0.500
Si  0.875  0.847  0.750
Si  0.375  0.403  0.750
Ba  0.750  0.250  0.500
Si  0.597  0.125  0.250

ΔE to the lowest computed polymorph = 65.1 kJ per mole of atoms
space group = No. 122
uncorrected formation energy = 0.23 eV/atom
E = -3.461 eV per atom


BaCaSi2: relaxed, GGA-PBE.

Unit cell a=5.394 b=5.394 c=5.394 alpha=60.00 beta=60.00 gamma=60.00
Sites, in units of the cell vectors:
Ba  0.500  0.500  0.500
Ca  0.000  0.000  0.000
Si  0.750  0.750  0.750
Si  0.250  0.250  0.250

ΔE to the lowest computed polymorph = 36.7 kJ per mole of atoms
space group = No. 225
uncorrected formation energy = -0.06 eV/atom
E = -3.756 eV per atom


BaCaSi2: relaxed, GGA-PBE.

Unit cell a=7.774 b=5.643 c=3.519 alpha=90.00 beta=63.08 gamma=123.21
Sites, in units of the cell vectors:
Si  0.500  0.000  0.500
Si  0.000  0.000  0.000
Ca  0.500  0.500  0.000
Ba  0.000  0.500  0.500

ΔE to the lowest computed polymorph = 38.0 kJ per mole of atoms
space group = No. 65
uncorrected formation energy = -0.05 eV/atom
E = -3.742 eV per atom